(1)
Here is an optimized crystal structure of SnSb from Alexandria. Energies are from GGA-PBE.

Geometry as POSCAR:
```
SnSb
1.0
-2.9355 3.0033 1.6452
2.9355 -3.0033 1.6452
2.9355 3.0033 -1.6452
Sn Sb
1 1
direct
0.0000 0.0000 0.0000 Sn
0.6898 0.1898 0.5000 Sb
```

Calculated values
Total magnetization: 0.0 μB/cell
Formation energy (no corrections): 0.092 eV per formula unit
Space group: Imm2
Mass density: 6.883 g/cm3
Calculated total energy: -8.0 eV for the cell shown

(2)
Here is an optimized crystal structure of BaHf from Alexandria. Energies are from GGA-PBE.

Geometry as POSCAR:
```
BaHf
1.0
-5.2204 5.2204 5.2204
5.2204 -5.2204 5.2204
5.2204 5.2204 -5.2204
Ba Hf
4 4
direct
0.0000 0.0000 0.5834 Ba
0.0000 0.5834 0.0000 Ba
0.4166 0.4166 0.4166 Ba
0.5834 0.0000 0.0000 Ba
0.0000 0.0000 0.1885 Hf
0.0000 0.1885 0.0000 Hf
0.1885 0.0000 0.0000 Hf
0.8115 0.8115 0.8115 Hf
```

Calculated values
Total magnetization: 3.2 μB/cell
Space group: I-43m
Formation energy: 1.1568 eV per atom
Mass density: 3.686 g/cm3
Calculated total energy: -38.3 eV for the cell shown
Energy relative to the lowest polymorph listed for this composition: 0.5982 eV per atom

(3)
Here is an optimized crystal structure of CsLiTiSe3 from Alexandria. Energies are from GGA-PBE.

Geometry as POSCAR:
```
CsLiTiSe3
1.0
3.6390 -6.5745 0.0000
3.6390 6.5745 0.0000
0.0000 0.0000 7.0574
Cs Li Ti Se
2 2 2 6
direct
0.2408 0.7592 0.7500 Cs
0.7592 0.2408 0.2500 Cs
0.0696 0.9304 0.2500 Li
0.9304 0.0696 0.7500 Li
0.4450 0.5550 0.2500 Ti
0.5550 0.4450 0.7500 Ti
0.2637 0.2637 0.0000 Se
0.2637 0.2637 0.5000 Se
0.2680 0.7320 0.2500 Se
0.7320 0.2680 0.7500 Se
0.7363 0.7363 0.0000 Se
0.7363 0.7363 0.5000 Se
```

Calculated values
Total magnetization: 0.0 μB/cell
Formation energy (no corrections): -7.340 eV per formula unit
Space group: Cmcm
Mass density: 4.176 g/cm3
Calculated total energy: -56.9 eV for the cell shown

The highest total magnetization belongs to which entry? BaHf

What did the second record say?
Here is an optimized crystal structure of BaHf from Alexandria. Energies are from GGA-PBE.

Geometry as POSCAR:
```
BaHf
1.0
-5.2204 5.2204 5.2204
5.2204 -5.2204 5.2204
5.2204 5.2204 -5.2204
Ba Hf
4 4
direct
0.0000 0.0000 0.5834 Ba
0.0000 0.5834 0.0000 Ba
0.4166 0.4166 0.4166 Ba
0.5834 0.0000 0.0000 Ba
0.0000 0.0000 0.1885 Hf
0.0000 0.1885 0.0000 Hf
0.1885 0.0000 0.0000 Hf
0.8115 0.8115 0.8115 Hf
```

Calculated values
Total magnetization: 3.2 μB/cell
Space group: I-43m
Formation energy: 1.1568 eV per atom
Mass density: 3.686 g/cm3
Calculated total energy: -38.3 eV for the cell shown
Energy relative to the lowest polymorph listed for this composition: 0.5982 eV per atom

What is the calculated total energy in the third record? -56.9 eV for the cell shown